1.
Material: InFeSi2
Method: DFT, PBE
State: optimized geometry

abc: 8.0629 2.8389 6.2738
angles: 90.00 109.33 90.00
Last column: nearest neighbours and their distance in Å.
Space group Cm (No. 8)
Unique sites:
In1 0.0000 0.0000 0.0000 x2  1 Si 2.72, 2 Fe 2.73, 2 In 2.84
Fe1 0.1357 0.5000 0.3920 x2  5 Si 2.26-2.27
Si1 0.1641 0.0000 0.6847 x2  2 Fe 2.27
Si2 0.3524 0.0000 0.3813 x2  3 Fe 2.26-2.27

E_form (uncorrected) = 0.0268 eV per atom


2.
Material: Nd9Er2Tm
Method: DFT, PBE
State: optimized geometry

abc: 5.1393 5.1393 15.4157
angles: 90.00 90.00 90.00
Last column: nearest neighbours and their distance in Å.
Space group P4/mmm (No. 123)
Unique sites:
Nd1 0.0000 0.0000 0.0000 x1  8 Nd 3.63, 4 Tm 3.63
Nd2 0.0000 0.0000 0.3331 x2  4 Er 3.63, 8 Nd 3.63-3.64
Nd3 0.0000 0.5000 0.1664 x4  2 Tm 3.63, 8 Nd 3.63, 2 Er 3.63
Nd4 0.0000 0.5000 0.5000 x2  8 Nd 3.63-3.64, 4 Er 3.64
Er1 0.5000 0.5000 0.3331 x2  12 Nd 3.63-3.64
Tm1 0.5000 0.5000 0.0000 x1  12 Nd 3.63

formation energy from the elements = 0.0149 eV per atom


3.
Material: Ca4P2F
Method: DFT, PBE
State: optimized geometry

abc: 4.5207 4.5207 15.5168
angles: 90.00 90.00 90.00
Last column: nearest neighbours and their distance in Å.
Space group I4/mmm (No. 139)
Unique sites:
Ca1 0.0000 0.0000 0.1859 x4  1 P 2.86, 1 F 2.89
Ca2 0.0000 0.5000 0.0000 x4  2 F 2.26
P1 0.0000 0.0000 0.3705 x4  5 Ca 2.86-3.02
F1 0.0000 0.0000 0.0000 x2  4 Ca 2.26

E_form (uncorrected) = -1.4796 eV per atom


no.,ρ (g/cm3),electronic total energy (eV/atom)
1,5.6,-5.485
2,7.3,-4.694
3,2.5,-4.436